First-principles (PBE) data for a geometry-optimized BaAlFe structure, as listed in the Alexandria database.

```
BaAlFe
1.0
-4.346 -0.469 -2.170
-0.380 -2.470 -4.192
-2.231 -4.340 -0.081
Ba Fe Al
1 1 1
direct
0.500 0.500 0.500 Ba
0.750 0.750 0.750 Fe
0.000 0.000 0.000 Al
```

Values from the calculation:
theoretical density	4.447	Mg/m³
energy of formation from the pure elements	664	meV/atom
magnetic moment	2.17	μB per formula unit

=====

First-principles (PBE) data for a geometry-optimized BaAlFe2 structure, as listed in the Alexandria database.

```
BaAlFe2
1.0
4.271 0.000 0.000
0.000 3.203 0.039
0.000 0.966 6.517
Al Fe Ba
1 2 1
direct
0.500 0.250 0.250 Al
0.000 0.025 0.121 Fe
0.000 0.475 0.379 Fe
0.500 0.750 0.750 Ba
```

Values from the calculation:
theoretical density	5.151	Mg/m³
energy of formation from the pure elements	399	meV/atom
magnetic moment	4.72	μB per formula unit

=====

First-principles (PBE) data for a geometry-optimized BaAlFe2 structure, as listed in the Alexandria database.

```
BaAlFe2
1.0
-2.047 1.935 -3.679
-0.848 -4.210 -1.741
-8.925 -1.313 1.358
Fe Ba Al
4 2 2
direct
0.375 0.125 0.250 Fe
0.375 0.625 0.250 Fe
0.375 0.625 0.750 Fe
0.875 0.625 0.750 Fe
0.000 0.000 0.000 Ba
0.750 0.250 0.500 Ba
0.250 0.750 0.500 Al
0.500 0.500 0.000 Al
```

Values from the calculation:
theoretical density	5.014	Mg/m³
energy of formation from the pure elements	668	meV/atom
magnetic moment	0.10	μB per formula unit

=====

First-principles (PBE) data for a geometry-optimized BaAl2Fe structure, as listed in the Alexandria database.

```
BaAl2Fe
1.0
-0.535 2.982 0.703
-1.888 -0.883 2.308
6.323 -0.079 5.142
Ba Al Fe
1 2 1
direct
0.500 0.500 0.250 Ba
0.000 0.000 0.911 Al
0.000 0.000 0.589 Al
0.500 0.500 0.750 Fe
```

Values from the calculation:
theoretical density	5.206	Mg/m³
energy of formation from the pure elements	44	meV/atom
magnetic moment	0.00	μB per formula unit

=====

First-principles (PBE) data for a geometry-optimized BaAlFe2 structure, as listed in the Alexandria database.

```
BaAlFe2
1.0
5.193 -0.008 -0.023
-0.192 5.189 0.023
-1.772 -3.293 3.603
Fe Al Ba
2 1 1
direct
0.597 0.597 0.000 Fe
0.903 0.903 0.000 Fe
0.750 0.250 0.500 Al
0.250 0.750 0.500 Ba
```

Values from the calculation:
theoretical density	4.713	Mg/m³
energy of formation from the pure elements	562	meV/atom
magnetic moment	4.94	μB per formula unit

=====

First-principles (PBE) data for a geometry-optimized BaAlFe2 structure, as listed in the Alexandria database.

```
BaAlFe2
1.0
-0.885 2.324 -3.249
-3.597 1.939 -0.208
0.969 6.299 1.661
Fe Al Ba
2 1 1
direct
0.064 0.064 0.809 Fe
0.734 0.734 0.799 Fe
0.444 0.444 0.667 Al
0.258 0.258 0.225 Ba
```

Values from the calculation:
theoretical density	5.143	Mg/m³
energy of formation from the pure elements	101	meV/atom
magnetic moment	2.98	μB per formula unit